# Tb2Pm3Pr6Tl

An optimized crystal structure of Tb2Pm3Pr6Tl (PBE, Alexandria).

Cell and atoms, written as POSCAR:
```
Tb2Pm3Pr6Tl
1.0
6.321 -0.016 0.008
-3.173 5.467 0.008
-1.101 -1.906 11.777
Pm Pr Tb Tl
3 6 2 1
Cartesian
4.167 -0.043 5.896 Pm
1.024 1.772 5.896 Pm
-2.120 3.588 5.896 Pm
-0.002 3.579 8.907 Pr
2.049 -0.034 2.885 Pr
3.101 1.787 8.907 Pr
-0.056 -0.097 8.869 Pr
2.103 3.641 2.923 Pr
-1.054 1.758 2.885 Pr
3.147 1.817 0.008 Tb
0.001 3.633 0.008 Tb
0.000 0.000 0.000 Tl
```

Output
Density of states at the Fermi level: 15.4 states/eV/f.u.
Energy relative to the elements: -0.011 eV per atom
Total magnetization: 0.0000 μB per atom
Raw total energy: -54.687 eV per cell